Density functional theory data (GGA-PBE) for a relaxed structure of NaGa2Sb. Values from VASP.

Values from the calculation:
- Spin magnetization: 0.00 Bohr magnetons per cell
- Formation energy without anion corrections: -0.035 eV/atom
- Symmetry: I-42d
- Calculated total energy: -11.636 eV/f.u.

Geometry as Quantum ESPRESSO input:
```
&SYSTEM
  ibrav = 0, nat = 8, ntyp = 3
/
ATOMIC_SPECIES
Na 22.99 Na.upf
Ga 69.72 Ga.upf
Sb 121.76 Sb.upf
ATOMIC_POSITIONS angstrom
Na 0.000 0.000 0.000
Na 0.000 4.223 1.461
Ga 2.112 2.495 -0.731
Ga 5.952 2.112 0.731
Ga 2.112 1.729 2.192
Ga -1.729 2.112 3.653
Sb 4.223 0.000 1.461
Sb 0.000 0.000 2.922
CELL_PARAMETERS angstrom
-4.223 4.223 2.922
4.223 -4.223 2.922
4.223 4.223 -2.922
```



Density functional theory data (GGA-PBE) for a relaxed structure of NaGa2SbSe6. Values from VASP.

Values from the calculation:
- Spin magnetization: 0.00 Bohr magnetons per cell
- Formation energy without anion corrections: -0.407 eV/atom
- Symmetry: C2/c
- Calculated total energy: -36.477 eV/f.u.

Geometry as Quantum ESPRESSO input:
```
&SYSTEM
  ibrav = 0, nat = 20, ntyp = 4
/
ATOMIC_SPECIES
Na 22.99 Na.upf
Ga 69.72 Ga.upf
Sb 121.76 Sb.upf
Se 78.96 Se.upf
ATOMIC_POSITIONS angstrom
Na 4.318 4.205 4.889
Na 6.118 -4.205 1.630
Ga 0.334 1.012 5.161
Ga 2.135 -1.012 1.901
Ga 8.301 1.012 4.618
Ga 10.101 -1.012 1.358
Sb 6.118 2.888 1.630
Sb 4.318 -2.888 4.889
Se 3.801 3.878 1.945
Se 0.742 0.686 2.776
Se -1.058 -0.686 6.035
Se 2.590 1.618 5.928
Se 8.434 3.878 1.314
Se 6.046 1.618 3.850
Se 4.390 -1.618 2.668
Se 2.001 -3.878 5.204
Se 7.846 -1.618 0.591
Se 11.494 0.686 0.483
Se 9.694 -0.686 3.743
Se 6.634 -3.878 4.574
CELL_PARAMETERS angstrom
7.018 -7.241 0.000
7.018 7.241 0.000
-3.600 0.000 6.519
```



Density functional theory data (GGA-PBE) for a relaxed structure of Na3GaSb3Se8. Values from VASP.

Values from the calculation:
- Spin magnetization: 0.00 Bohr magnetons per cell
- Formation energy without anion corrections: -0.556 eV/atom
- Symmetry: C2/m
- Calculated total energy: -55.572 eV/f.u.

Geometry as Quantum ESPRESSO input:
```
&SYSTEM
  ibrav = 0, nat = 15, ntyp = 4
/
ATOMIC_SPECIES
Na 22.99 Na.upf
Ga 69.72 Ga.upf
Sb 121.76 Sb.upf
Se 78.96 Se.upf
ATOMIC_POSITIONS angstrom
Na 0.000 0.000 0.000
Na 3.483 2.007 0.000
Na 3.483 -2.007 0.000
Ga -2.326 0.000 3.639
Sb 1.157 2.007 3.639
Sb 1.157 -2.007 3.639
Sb 4.640 0.000 3.639
Se -0.184 0.000 5.197
Se 3.569 2.162 5.194
Se 5.711 2.162 2.083
Se 2.321 0.000 1.956
Se 6.958 0.000 5.322
Se 3.569 -2.162 5.194
Se 5.711 -2.162 2.083
Se 9.463 0.000 2.081
CELL_PARAMETERS angstrom
6.966 -4.014 0.000
6.966 4.014 0.000
-4.652 0.000 7.278
```



Density functional theory data (GGA-PBE) for a relaxed structure of Na2GaSbSe5. Values from VASP.

Values from the calculation:
- Spin magnetization: 0.00 Bohr magnetons per cell
- Formation energy without anion corrections: -0.577 eV/atom
- Symmetry: Cmc2_1
- Calculated total energy: -32.405 eV/f.u.

Geometry as Quantum ESPRESSO input:
```
&SYSTEM
  ibrav = 0, nat = 18, ntyp = 4
/
ATOMIC_SPECIES
Na 22.99 Na.upf
Ga 69.72 Ga.upf
Sb 121.76 Sb.upf
Se 78.96 Se.upf
ATOMIC_POSITIONS angstrom
Na 1.876 7.618 6.851
Na 1.876 7.097 2.239
Na 1.876 -7.097 9.090
Na 1.876 -7.618 0.000
Ga 1.876 1.316 3.745
Ga 1.876 -1.316 10.596
Sb 1.876 5.016 12.106
Sb 1.876 -5.016 5.256
Se 1.876 8.186 12.146
Se 1.876 4.389 7.222
Se 1.876 3.787 3.245
Se 1.876 2.496 11.505
Se 1.876 0.113 1.713
Se 1.876 -0.113 8.563
Se 1.876 -2.496 4.654
Se 1.876 -3.787 10.095
Se 1.876 -4.389 0.372
Se 1.876 -8.186 5.296
CELL_PARAMETERS angstrom
1.876 -9.315 0.000
1.876 9.315 0.000
0.000 0.000 13.701
```



Density functional theory data (GGA-PBE) for a relaxed structure of Na2GaSbSe4. Values from VASP.

Values from the calculation:
- Spin magnetization: 0.00 Bohr magnetons per cell
- Formation energy without anion corrections: -0.648 eV/atom
- Symmetry: I-4
- Calculated total energy: -28.910 eV/f.u.

Geometry as Quantum ESPRESSO input:
```
&SYSTEM
  ibrav = 0, nat = 8, ntyp = 4
/
ATOMIC_SPECIES
Na 22.99 Na.upf
Ga 69.72 Ga.upf
Sb 121.76 Sb.upf
Se 78.96 Se.upf
ATOMIC_POSITIONS angstrom
Na 0.000 0.000 0.000
Na 0.000 3.339 2.861
Ga 3.339 0.000 2.861
Sb 0.000 0.000 5.722
Se 1.843 -1.418 4.181
Se 1.921 1.496 1.541
Se 1.496 4.757 -1.541
Se 1.418 1.843 7.263
CELL_PARAMETERS angstrom
-3.339 3.339 5.722
3.339 -3.339 5.722
3.339 3.339 -5.722
```



Density functional theory data (GGA-PBE) for a relaxed structure of NaGa2SiSb. Values from VASP.

Values from the calculation:
- Spin magnetization: 0.00 Bohr magnetons per cell
- Formation energy without anion corrections: 0.610 eV/atom
- Symmetry: P4/mmm
- Calculated total energy: -13.870 eV/f.u.

Geometry as Quantum ESPRESSO input:
```
&SYSTEM
  ibrav = 0, nat = 5, ntyp = 4
/
ATOMIC_SPECIES
Na 22.99 Na.upf
Ga 69.72 Ga.upf
Si 28.09 Si.upf
Sb 121.76 Sb.upf
ATOMIC_POSITIONS angstrom
Na 0.000 0.000 0.000
Ga 0.000 2.728 2.686
Ga 2.728 0.000 2.686
Si 2.728 2.728 0.000
Sb 2.728 2.728 2.686
CELL_PARAMETERS angstrom
5.457 0.000 0.000
0.000 5.457 0.000
0.000 0.000 5.371
```



Density functional theory data (GGA-PBE) for a relaxed structure of NaGaSnSb2. Values from VASP.

Values from the calculation:
- Spin magnetization: 0.00 Bohr magnetons per cell
- Formation energy without anion corrections: 0.344 eV/atom
- Symmetry: P4/mmm
- Calculated total energy: -14.871 eV/f.u.

Geometry as Quantum ESPRESSO input:
```
&SYSTEM
  ibrav = 0, nat = 5, ntyp = 4
/
ATOMIC_SPECIES
Na 22.99 Na.upf
Ga 69.72 Ga.upf
Sn 118.71 Sn.upf
Sb 121.76 Sb.upf
ATOMIC_POSITIONS angstrom
Na 0.000 0.000 0.000
Ga 2.902 2.902 0.000
Sn 2.902 2.902 2.686
Sb 0.000 2.902 2.686
Sb 2.902 0.000 2.686
CELL_PARAMETERS angstrom
5.803 0.000 0.000
0.000 5.803 0.000
0.000 0.000 5.371
```



Density functional theory data (GGA-PBE) for a relaxed structure of Na2SrGaSb2. Values from VASP.

Values from the calculation:
- Spin magnetization: 0.00 Bohr magnetons per cell
- Formation energy without anion corrections: -0.532 eV/atom
- Symmetry: Pmc2_1
- Calculated total energy: -18.782 eV/f.u.

Geometry as Quantum ESPRESSO input:
```
&SYSTEM
  ibrav = 0, nat = 12, ntyp = 4
/
ATOMIC_SPECIES
Na 22.99 Na.upf
Sr 87.62 Sr.upf
Ga 69.72 Ga.upf
Sb 121.76 Sb.upf
ATOMIC_POSITIONS angstrom
Na 0.000 0.712 0.000
Na 0.000 8.038 3.944
Na 2.602 1.310 2.585
Na 2.602 7.440 6.529
Sr 2.602 4.070 0.046
Sr 2.602 4.680 3.990
Ga 0.000 2.682 5.151
Ga 0.000 6.068 1.207
Sb 0.000 3.208 2.186
Sb 0.000 5.543 6.130
Sb 2.602 1.648 5.683
Sb 2.602 7.102 1.739
CELL_PARAMETERS angstrom
5.205 0.000 0.000
0.000 8.751 0.000
0.000 0.000 7.888
```



Density functional theory data (GGA-PBE) for a relaxed structure of NaGaSbTe2. Values from VASP.

Values from the calculation:
- Spin magnetization: 0.00 Bohr magnetons per cell
- Formation energy without anion corrections: 0.088 eV/atom
- Polymorph energy (0 for the lowest one): 0 meV/atom
- Symmetry: P4/mmm
- Calculated total energy: -14.309 eV/f.u.

Geometry as Quantum ESPRESSO input:
```
&SYSTEM
  ibrav = 0, nat = 5, ntyp = 4
/
ATOMIC_SPECIES
Na 22.99 Na.upf
Ga 69.72 Ga.upf
Sb 121.76 Sb.upf
Te 127.60 Te.upf
ATOMIC_POSITIONS angstrom
Na 0.000 0.000 0.000
Ga 2.827 2.827 2.604
Sb 2.827 2.827 0.000
Te 0.000 2.827 2.604
Te 2.827 0.000 2.604
CELL_PARAMETERS angstrom
5.654 0.000 0.000
0.000 5.654 0.000
0.000 0.000 5.208
```



Density functional theory data (GGA-PBE) for a relaxed structure of NaGaSbTe2. Values from VASP.

Values from the calculation:
- Spin magnetization: 0.00 Bohr magnetons per cell
- Formation energy without anion corrections: 0.528 eV/atom
- Polymorph energy (0 for the lowest one): 440 meV/atom
- Symmetry: P4/mmm
- Calculated total energy: -12.111 eV/f.u.

Geometry as Quantum ESPRESSO input:
```
&SYSTEM
  ibrav = 0, nat = 5, ntyp = 4
/
ATOMIC_SPECIES
Na 22.99 Na.upf
Ga 69.72 Ga.upf
Sb 121.76 Sb.upf
Te 127.60 Te.upf
ATOMIC_POSITIONS angstrom
Na 0.000 0.000 0.000
Ga 2.821 2.821 2.685
Sb 0.000 0.000 2.685
Te 0.000 2.821 0.000
Te 2.821 0.000 0.000
CELL_PARAMETERS angstrom
5.641 0.000 0.000
0.000 5.641 0.000
0.000 0.000 5.370
```



Density functional theory data (GGA-PBE) for a relaxed structure of NaTlGaSb. Values from VASP.

Values from the calculation:
- Spin magnetization: 0.00 Bohr magnetons per cell
- Formation energy without anion corrections: -0.095 eV/atom
- Symmetry: F-43m
- Calculated total energy: -11.214 eV/f.u.

Geometry as Quantum ESPRESSO input:
```
&SYSTEM
  ibrav = 0, nat = 4, ntyp = 4
/
ATOMIC_SPECIES
Na 22.99 Na.upf
Tl 204.38 Tl.upf
Ga 69.72 Ga.upf
Sb 121.76 Sb.upf
ATOMIC_POSITIONS angstrom
Na 0.000 0.000 0.000
Tl 1.881 1.881 1.881
Ga 3.762 3.762 3.762
Sb 5.643 5.643 5.643
CELL_PARAMETERS angstrom
0.000 3.762 3.762
3.762 0.000 3.762
3.762 3.762 0.000
```



Density functional theory data (GGA-PBE) for a relaxed structure of NaVGaSb2. Values from VASP.

Values from the calculation:
- Spin magnetization: 0.20 Bohr magnetons per cell
- Formation energy without anion corrections: 1.241 eV/atom
- Symmetry: P4/mmm
- Calculated total energy: -15.505 eV/f.u.

Geometry as Quantum ESPRESSO input:
```
&SYSTEM
  ibrav = 0, nat = 5, ntyp = 4
/
ATOMIC_SPECIES
Na 22.99 Na.upf
V 50.94 V.upf
Ga 69.72 Ga.upf
Sb 121.76 Sb.upf
ATOMIC_POSITIONS angstrom
Na 0.000 0.000 0.000
V 2.667 2.667 2.453
Ga 0.000 0.000 2.453
Sb 0.000 2.667 0.000
Sb 2.667 0.000 0.000
CELL_PARAMETERS angstrom
5.334 0.000 0.000
0.000 5.334 0.000
0.000 0.000 4.906
```